Record 1
# LiYHf2F (PBE-GGA, relaxed)
data_LiYHf2F
_chemical_formula_sum 'Li1 Y1 Hf2 F1'
_symmetry_space_group_name_H-M 'P 4/m m m'
_symmetry_Int_Tables_number 123
_symmetry_space_group_name_Hall '-P 4 2'
_cell_length_a 5.355
_cell_length_b 5.355
_cell_length_c 4.750
_cell_angle_alpha 90.00
_cell_angle_beta 90.00
_cell_angle_gamma 90.00
loop_
_atom_site_label
_atom_site_type_symbol
_atom_site_fract_x
_atom_site_fract_y
_atom_site_fract_z
_atom_site_occupancy
Li1 Li 0.000 0.000 0.000 1
Y1 Y 0.000 0.000 0.500 1
Hf1 Hf 0.000 0.500 0.500 1
F1 F 0.500 0.500 0.000 1
# Total energy in hartree per atom: -0.173



Record 2
# LuHfF7 (PBE-GGA, relaxed)
data_LuHfF7
_chemical_formula_sum 'Lu2 Hf2 F14'
_symmetry_space_group_name_H-M 'P 1 21 1'
_symmetry_Int_Tables_number 4
_cell_length_a 5.958
_cell_length_b 5.724
_cell_length_c 8.164
_cell_angle_alpha 90.00
_cell_angle_beta 103.53
_cell_angle_gamma 90.00
loop_
_symmetry_equiv_pos_as_xyz
'x,y,z'
'-x,y+1/2,-z'
loop_
_atom_site_label
_atom_site_type_symbol
_atom_site_fract_x
_atom_site_fract_y
_atom_site_fract_z
_atom_site_occupancy
Lu1 Lu 0.150 0.000 0.188 1
Hf1 Hf 0.320 0.001 0.726 1
F1 F 0.007 0.743 0.003 1
F2 F 0.085 0.745 0.708 1
F3 F 0.088 0.261 0.708 1
F4 F 0.270 0.001 0.475 1
F5 F 0.367 0.002 0.976 1
F6 F 0.425 0.264 0.256 1
F7 F 0.427 0.741 0.258 1
# Total energy in hartree per atom: -0.260



Record 3
# Lu2HfF (PBE-GGA, relaxed)
data_Lu2HfF
_chemical_formula_sum 'Lu6 Hf3 F3'
_symmetry_space_group_name_H-M 'R -3 m'
_symmetry_Int_Tables_number 166
_symmetry_space_group_name_Hall '-R 3 2"'
_cell_length_a 3.4297
_cell_length_b 3.4297
_cell_length_c 24.6464
_cell_angle_alpha 90.00
_cell_angle_beta 90.00
_cell_angle_gamma 120.00
loop_
_atom_site_label
_atom_site_type_symbol
_atom_site_fract_x
_atom_site_fract_y
_atom_site_fract_z
_atom_site_occupancy
Lu1 Lu 0.0000 0.0000 0.2322 1
Hf1 Hf 0.0000 0.0000 0.0000 1
F1 F 0.0000 0.0000 0.5000 1
# Total energy in hartree per atom: -0.231



Record 4
# HfMgF2 (PBE-GGA, relaxed)
data_HfMgF2
_chemical_formula_sum 'Hf4 Mg4 F8'
_symmetry_space_group_name_H-M 'I -4 2 d'
_symmetry_Int_Tables_number 122
_symmetry_space_group_name_Hall 'I -4 2bw'
_cell_length_a 5.107
_cell_length_b 5.107
_cell_length_c 9.801
_cell_angle_alpha 90.00
_cell_angle_beta 90.00
_cell_angle_gamma 90.00
loop_
_atom_site_label
_atom_site_type_symbol
_atom_site_fract_x
_atom_site_fract_y
_atom_site_fract_z
_atom_site_occupancy
Hf1 Hf 0.000 0.000 0.000 1
Mg1 Mg 0.000 0.000 0.500 1
F1 F 0.186 0.250 0.625 1
# Total energy in hartree per atom: -0.199
# Energy relative to the lowest polymorph listed for this composition in eV/f.u.: 1.93



Record 5
# HfMgF2 (PBE-GGA, relaxed)
data_HfMgF2
_chemical_formula_sum 'Hf3 Mg3 F6'
_symmetry_space_group_name_H-M 'R -3 m'
_symmetry_Int_Tables_number 166
_symmetry_space_group_name_Hall '-R 3 2"'
_cell_length_a 3.1406
_cell_length_b 3.1406
_cell_length_c 20.7484
_cell_angle_alpha 90.00
_cell_angle_beta 90.00
_cell_angle_gamma 120.00
loop_
_atom_site_label
_atom_site_type_symbol
_atom_site_fract_x
_atom_site_fract_y
_atom_site_fract_z
_atom_site_occupancy
Hf1 Hf 0.0000 0.0000 0.0000 1
Mg1 Mg 0.0000 0.0000 0.5000 1
F1 F 0.0000 0.0000 0.1226 1
# Total energy in hartree per atom: -0.216
# Energy relative to the lowest polymorph listed for this composition in eV/f.u.: 0.00



Record 6
# HfMgF2 (PBE-GGA, relaxed)
data_HfMgF2
_chemical_formula_sum 'Hf3 Mg3 F6'
_symmetry_space_group_name_H-M 'R -3 m'
_symmetry_Int_Tables_number 166
_symmetry_space_group_name_Hall '-R 3 2"'
_cell_length_a 2.9796
_cell_length_b 2.9796
_cell_length_c 24.2256
_cell_angle_alpha 90.00
_cell_angle_beta 90.00
_cell_angle_gamma 120.00
loop_
_atom_site_label
_atom_site_type_symbol
_atom_site_fract_x
_atom_site_fract_y
_atom_site_fract_z
_atom_site_occupancy
Hf1 Hf 0.0000 0.0000 0.0000 1
Mg1 Mg 0.0000 0.0000 0.5000 1
F1 F 0.0000 0.0000 0.3991 1
# Total energy in hartree per atom: -0.210
# Energy relative to the lowest polymorph listed for this composition in eV/f.u.: 0.75



Record 7
# HfMg3F (PBE-GGA, relaxed)
data_HfMg3F
_chemical_formula_sum 'Hf1 Mg3 F1'
_symmetry_space_group_name_H-M 'P m -3 m'
_symmetry_Int_Tables_number 221
_symmetry_space_group_name_Hall '-P 4 2 3'
_cell_length_a 5.874
_cell_length_b 5.874
_cell_length_c 5.874
_cell_angle_alpha 90.00
_cell_angle_beta 90.00
_cell_angle_gamma 90.00
loop_
_atom_site_label
_atom_site_type_symbol
_atom_site_fract_x
_atom_site_fract_y
_atom_site_fract_z
_atom_site_occupancy
Hf1 Hf 0.000 0.000 0.000 1
Mg1 Mg 0.000 0.000 0.500 1
F1 F 0.500 0.500 0.500 1
# Total energy in hartree per atom: -0.090
# Energy relative to the lowest polymorph listed for this composition in eV/f.u.: 7.27



Record 8
# Hf3MgF (PBE-GGA, relaxed)
data_Hf3MgF
_chemical_formula_sum 'Hf3 Mg1 F1'
_symmetry_space_group_name_H-M 'P m -3 m'
_symmetry_Int_Tables_number 221
_symmetry_space_group_name_Hall '-P 4 2 3'
_cell_length_a 4.563
_cell_length_b 4.563
_cell_length_c 4.563
_cell_angle_alpha 90.00
_cell_angle_beta 90.00
_cell_angle_gamma 90.00
loop_
_atom_site_label
_atom_site_type_symbol
_atom_site_fract_x
_atom_site_fract_y
_atom_site_fract_z
_atom_site_occupancy
Hf1 Hf 0.000 0.000 0.500 1
Mg1 Mg 0.500 0.500 0.500 1
F1 F 0.000 0.000 0.000 1
# Total energy in hartree per atom: -0.258
# Energy relative to the lowest polymorph listed for this composition in eV/f.u.: 0.00



Record 9
# HfMg3F (PBE-GGA, relaxed)
data_HfMg3F
_chemical_formula_sum 'Hf1 Mg3 F1'
_symmetry_space_group_name_H-M 'P m -3 m'
_symmetry_Int_Tables_number 221
_symmetry_space_group_name_Hall '-P 4 2 3'
_cell_length_a 4.551
_cell_length_b 4.551
_cell_length_c 4.551
_cell_angle_alpha 90.00
_cell_angle_beta 90.00
_cell_angle_gamma 90.00
loop_
_atom_site_label
_atom_site_type_symbol
_atom_site_fract_x
_atom_site_fract_y
_atom_site_fract_z
_atom_site_occupancy
Hf1 Hf 0.000 0.000 0.000 1
Mg1 Mg 0.000 0.500 0.500 1
F1 F 0.500 0.500 0.500 1
# Total energy in hartree per atom: -0.143
# Energy relative to the lowest polymorph listed for this composition in eV/f.u.: 0.00



Record 10
# HfMgF2 (PBE-GGA, relaxed)
data_HfMgF2
_chemical_formula_sum 'Hf4 Mg4 F8'
_symmetry_space_group_name_H-M 'F m -3 m'
_symmetry_Int_Tables_number 225
_symmetry_space_group_name_Hall '-F 4 2 3'
_cell_length_a 6.236
_cell_length_b 6.236
_cell_length_c 6.236
_cell_angle_alpha 90.00
_cell_angle_beta 90.00
_cell_angle_gamma 90.00
loop_
_atom_site_label
_atom_site_type_symbol
_atom_site_fract_x
_atom_site_fract_y
_atom_site_fract_z
_atom_site_occupancy
Hf1 Hf 0.000 0.000 0.000 1
Mg1 Mg 0.000 0.000 0.500 1
F1 F 0.250 0.250 0.250 1
# Total energy in hartree per atom: -0.177
# Energy relative to the lowest polymorph listed for this composition in eV/f.u.: 4.33



Record 11
# HfMgF3 (PBE-GGA, relaxed)
data_HfMgF3
_chemical_formula_sum 'Hf1 Mg1 F3'
_symmetry_space_group_name_H-M 'P m -3 m'
_symmetry_Int_Tables_number 221
_symmetry_space_group_name_Hall '-P 4 2 3'
_cell_length_a 4.093
_cell_length_b 4.093
_cell_length_c 4.093
_cell_angle_alpha 90.00
_cell_angle_beta 90.00
_cell_angle_gamma 90.00
loop_
_atom_site_label
_atom_site_type_symbol
_atom_site_fract_x
_atom_site_fract_y
_atom_site_fract_z
_atom_site_occupancy
Hf1 Hf 0.000 0.000 0.000 1
Mg1 Mg 0.500 0.500 0.500 1
F1 F 0.000 0.500 0.500 1
# Total energy in hartree per atom: -0.195
# Energy relative to the lowest polymorph listed for this composition in eV/f.u.: 1.38



Record 12
# HfMgF3 (PBE-GGA, relaxed)
data_HfMgF3
_chemical_formula_sum 'Hf1 Mg1 F3'
_symmetry_space_group_name_H-M 'P m -3 m'
_symmetry_Int_Tables_number 221
_symmetry_space_group_name_Hall '-P 4 2 3'
_cell_length_a 4.336
_cell_length_b 4.336
_cell_length_c 4.336
_cell_angle_alpha 90.00
_cell_angle_beta 90.00
_cell_angle_gamma 90.00
loop_
_atom_site_label
_atom_site_type_symbol
_atom_site_fract_x
_atom_site_fract_y
_atom_site_fract_z
_atom_site_occupancy
Hf1 Hf 0.000 0.000 0.000 1
Mg1 Mg 0.500 0.500 0.500 1
F1 F 0.000 0.000 0.500 1
# Total energy in hartree per atom: -0.206
# Energy relative to the lowest polymorph listed for this composition in eV/f.u.: 0.00



Raw formation energy? In order: 1.329; -4.000; -1.070; -1.585; -2.068; -1.880; 0.879; -0.368; -0.576; -0.986; -1.884; -2.161 eV/atom.